## a
The following is a GGA-PBEsol calculation of an optimized crystal structure of Ru2PbSe, from Alexandria.

Cell lengths 4.594, 4.594, 4.594 Å; angles 60.00, 60.00, 60.00 degrees
Fractional coordinates of all 4 atoms:
Pb1 0.500 0.500 0.500
Ru1 0.000 0.000 0.000
Ru2 0.250 0.250 0.250
Se1 0.750 0.750 0.750

Summary:
crystal system: cubic
space-group type: F-43m (216)
V: 68.6 Å³/cell
D(E_F): 7.1 states/eV/cell



## b
The following is a GGA-PBEsol calculation of an optimized crystal structure of Ru2PbSe, from Alexandria.

Cell lengths 3.183, 5.115, 5.225 Å; angles 118.82, 107.02, 91.40 degrees
Fractional coordinates of all 4 atoms:
Pb1 0.000 0.500 0.000
Ru1 0.000 0.000 0.500
Ru2 0.500 0.500 0.500
Se1 0.500 0.000 0.000

Summary:
crystal system: monoclinic
space-group type: C2/m (12)
V: 69.9 Å³/cell
D(E_F): 5.8 states/eV/cell



Least stable: a



## a
The following is a GGA-PBEsol calculation of an optimized crystal structure of SbOF3, from Alexandria.

Cell lengths 4.304, 4.304, 4.304 Å; angles 90.00, 90.00, 90.00 degrees
Fractional coordinates of all 5 atoms:
F1 0.000 0.500 0.500
F2 0.500 0.000 0.500
F3 0.500 0.500 0.000
O1 0.000 0.000 0.000
Sb1 0.500 0.500 0.500

Summary:
crystal system: cubic
space-group type: Pm-3m (221)
V: 79.7 Å³/cell
D(E_F): 8.3 states/eV/cell



## b
The following is a GGA-PBEsol calculation of an optimized crystal structure of SbOF3, from Alexandria.

Cell lengths 3.783, 4.087, 5.165 Å; angles 113.31, 111.48, 90.00 degrees
Fractional coordinates of all 5 atoms:
Sb1 0.000 0.000 0.000
O1 0.500 0.000 0.000
F1 0.784 0.784 0.568
F2 0.000 0.500 0.000
F3 0.216 0.216 0.432

Summary:
crystal system: orthorhombic
space-group type: Immm (71)
V: 67.2 Å³/cell



Least stable: a



## a
The following is a GGA-PBEsol calculation of an optimized crystal structure of Rb, from Alexandria.

Cell lengths 4.758, 4.758, 8.928 Å; angles 98.36, 98.36, 117.03 degrees
Fractional coordinates of all 2 atoms:
Rb1 0.869 0.869 0.737
Rb2 0.131 0.131 0.263

Summary:
crystal system: orthorhombic
space-group type: Fmmm (69)
V: 172.9 Å³/cell
D(E_F): 1.8 states/eV/cell



## b
The following is a GGA-PBEsol calculation of an optimized crystal structure of Rb, from Alexandria.

Cell lengths 4.718, 7.897, 7.897 Å; angles 120.00, 90.00, 90.00 degrees
Fractional coordinates of all 3 atoms:
Rb1 0.000 0.000 0.000
Rb2 0.500 0.667 0.333
Rb3 0.500 0.333 0.667

Summary:
crystal system: hexagonal
space-group type: P6/mmm (191)
V: 254.8 Å³/cell
D(E_F): 2.6 states/eV/cell



Least stable: a